1.
K2ZrPt PBE optimized geometry; ΔH_f (0 K) = 0.55 eV/atom; space-group type = No. 166; polymorph energy (0 for the lowest one) = 658.1 meV per atom; final energy = -3.6443 eV per atom
1.0
12.384 -0.001 0.000
11.988 3.107 0.000
11.988 1.528 2.705
Zr K Pt
1 2 1
Direct
0.750 0.750 0.750
0.513 0.513 0.513
0.987 0.987 0.987
0.250 0.250 0.250

2.
PPt5 PBE optimized geometry; ΔH_f (0 K) = 0.44 eV/atom; space-group type = No. 191; polymorph energy (0 for the lowest one) = 461.2 meV per atom; final energy = -5.4933 eV per atom
1.0
2.595 -4.494 0.000
2.595 4.494 0.000
0.000 0.000 4.578
Pt P
5 1
Direct
0.333 0.667 0.000
0.667 0.333 0.000
0.500 0.000 0.500
0.000 0.500 0.500
0.500 0.500 0.500
0.000 0.000 0.000

The highest polymorph energy (0 for the lowest one) belongs to which entry?
K2ZrPt